[1]
DFT (PBE) results for a geometry-optimized Pm9PrNd2 structure.

a b c (Å): 11.5756 11.5756 3.5795
angles (deg): 90.00 90.00 120.00
Space group P6/mmm (No. 191)
Asymmetric unit:
1 Pm 0.0000 0.5000 0.0000 (multiplicity 3)
2 Pm 0.1740 0.3480 0.5000 (multiplicity 6)
3 Pr 0.0000 0.0000 0.0000 (multiplicity 1)
4 Nd 0.3333 0.6667 0.0000 (multiplicity 2)

Results
- ΔE to the lowest computed polymorph (kJ/mol of atoms) = 2.4



[2]
DFT (PBE) results for a geometry-optimized Pm4PrNd5 structure.

a b c (Å): 28.927 3.528 6.984
angles (deg): 90.00 97.33 90.00
Space group C2/m (No. 12)
Asymmetric unit:
1 Pm 0.094 0.000 0.301 (multiplicity 4)
2 Pm 0.108 0.500 0.807 (multiplicity 4)
3 Pr 0.000 0.500 0.000 (multiplicity 2)
4 Nd 0.000 0.500 0.500 (multiplicity 2)
5 Nd 0.201 0.000 0.599 (multiplicity 4)
6 Nd 0.206 0.000 0.103 (multiplicity 4)

Results
- ΔE to the lowest computed polymorph (kJ/mol of atoms) = 0.0



[3]
DFT (PBE) results for a geometry-optimized Pm3PrNd8 structure.

a b c (Å): 6.361 6.380 11.025
angles (deg): 73.24 89.97 80.60
Space group P-1 (No. 2)
Asymmetric unit:
1 Pm 0.000 0.000 0.000 (multiplicity 1)
2 Pm 0.250 0.501 0.250 (multiplicity 2)
3 Pr 0.500 0.000 0.500 (multiplicity 1)
4 Nd 0.001 0.000 0.333 (multiplicity 2)
5 Nd 0.249 0.500 0.917 (multiplicity 2)
6 Nd 0.250 0.500 0.583 (multiplicity 2)
7 Nd 0.500 0.000 0.166 (multiplicity 2)



[4]
DFT (PBE) results for a geometry-optimized Pm3Pr3Nd5 structure.

a b c (Å): 9.8297 9.8297 5.6023
angles (deg): 90.00 90.00 120.00
Space group P-62m (No. 189)
Asymmetric unit:
1 Pm 0.0000 0.5191 0.0000 (multiplicity 3)
2 Pr 0.0000 0.3624 0.5000 (multiplicity 3)
3 Nd 0.0000 0.7326 0.5000 (multiplicity 3)
4 Nd 0.3333 0.6667 0.5000 (multiplicity 2)

Results
- ΔE to the lowest computed polymorph (kJ/mol of atoms) = 39.9



[5]
DFT (PBE) results for a geometry-optimized Pm4Pr2Nd3 structure.

a b c (Å): 3.6725 3.6725 27.4152
angles (deg): 90.00 90.00 120.00
Space group P3m1 (No. 156)
Asymmetric unit:
1 Pm 0.0000 0.0000 0.0000 (multiplicity 1)
2 Pm 0.0000 0.0000 0.2175 (multiplicity 1)
3 Pm 0.3333 0.6667 0.3242 (multiplicity 1)
4 Pm 0.3333 0.6667 0.5435 (multiplicity 1)
5 Pr 0.0000 0.0000 0.6523 (multiplicity 1)
6 Pr 0.0000 0.0000 0.8731 (multiplicity 1)
7 Nd 0.0000 0.0000 0.4342 (multiplicity 1)
8 Nd 0.3333 0.6667 0.1053 (multiplicity 1)
9 Nd 0.3333 0.6667 0.7658 (multiplicity 1)

Results
- ΔE to the lowest computed polymorph (kJ/mol of atoms) = 4.6



[6]
DFT (PBE) results for a geometry-optimized Pm2PrNd8 structure.

a b c (Å): 17.060 6.859 6.827
angles (deg): 90.00 99.94 90.00
Space group C2/m (No. 12)
Asymmetric unit:
1 Pm 0.201 0.000 0.306 (multiplicity 4)
2 Pr 0.000 0.000 0.500 (multiplicity 2)
3 Nd 0.089 0.263 0.910 (multiplicity 8)
4 Nd 0.091 0.500 0.412 (multiplicity 4)
5 Nd 0.244 0.000 0.814 (multiplicity 4)

Results
- ΔE to the lowest computed polymorph (kJ/mol of atoms) = 1.6



[7]
DFT (PBE) results for a geometry-optimized PmPr2Nd structure.

a b c (Å): 5.218 5.218 5.211
angles (deg): 90.00 90.00 90.00
Space group P4/mmm (No. 123)
Asymmetric unit:
1 Pm 0.000 0.000 0.000 (multiplicity 1)
2 Pr 0.000 0.500 0.500 (multiplicity 2)
3 Nd 0.500 0.500 0.000 (multiplicity 1)

Results
- ΔE to the lowest computed polymorph (kJ/mol of atoms) = 0.2



[8]
DFT (PBE) results for a geometry-optimized Pm5PrNd12 structure.

a b c (Å): 11.595 17.874 6.116
angles (deg): 90.00 90.00 90.00
Space group C2/m (No. 12)
Asymmetric unit:
1 Pm 0.000 0.000 0.000 (multiplicity 2)
2 Pm 0.000 0.171 0.500 (multiplicity 4)
3 Pm 0.000 0.328 0.000 (multiplicity 4)
4 Pr 0.000 0.500 0.500 (multiplicity 2)
5 Nd 0.169 0.000 0.537 (multiplicity 4)
6 Nd 0.169 0.500 0.963 (multiplicity 4)
7 Nd 0.178 0.165 0.944 (multiplicity 8)
8 Nd 0.179 0.334 0.556 (multiplicity 8)



[9]
DFT (PBE) results for a geometry-optimized Pm5Pr4Nd4 structure.

a b c (Å): 13.313 13.313 5.179
angles (deg): 90.00 90.00 90.00
Space group I4/m (No. 87)
Asymmetric unit:
1 Pm 0.000 0.000 0.000 (multiplicity 2)
2 Pm 0.039 0.809 0.500 (multiplicity 8)
3 Pr 0.078 0.616 0.000 (multiplicity 8)
4 Nd 0.153 0.230 0.000 (multiplicity 8)



[10]
DFT (PBE) results for a geometry-optimized PmPr4Nd structure.

a b c (Å): 16.150 7.004 8.929
angles (deg): 90.00 116.05 90.00
Space group C2/m (No. 12)
Asymmetric unit:
1 Pm 0.248 0.000 0.310 (multiplicity 4)
2 Pr 0.000 0.262 0.500 (multiplicity 4)
3 Pr 0.123 0.255 0.939 (multiplicity 8)
4 Pr 0.199 0.000 0.671 (multiplicity 4)
5 Nd 0.093 0.500 0.269 (multiplicity 4)

Results
- ΔE to the lowest computed polymorph (kJ/mol of atoms) = 21.5



[11]
DFT (PBE) results for a geometry-optimized Pm4Pr10Nd structure.

a b c (Å): 12.968 12.968 6.955
angles (deg): 90.00 90.00 90.00
Space group I4/m (No. 87)
Asymmetric unit:
1 Pm 0.067 0.176 0.000 (multiplicity 8)
2 Pr 0.000 0.500 0.250 (multiplicity 4)
3 Pr 0.128 0.710 0.255 (multiplicity 16)
4 Nd 0.000 0.000 0.500 (multiplicity 2)



[12]
DFT (PBE) results for a geometry-optimized PmPr3Nd8 structure.

a b c (Å): 8.918 8.918 11.646
angles (deg): 90.00 90.00 90.00
Space group I-42m (No. 121)
Asymmetric unit:
1 Pm 0.000 0.000 0.000 (multiplicity 2)
2 Pr 0.000 0.000 0.500 (multiplicity 2)
3 Pr 0.000 0.500 0.250 (multiplicity 4)
4 Nd 0.123 0.123 0.249 (multiplicity 8)
5 Nd 0.249 0.249 0.997 (multiplicity 8)



Formation energy from the elements values, unit eV per atom, following the record order: 0.039; 0.137; 0.011; 0.712; 0.060; 0.151; 0.012; 0.099; 0.012; 0.274; 0.499; 0.532.